Material: Sm4Te2AsIr
Method: DFT, PBE
State: optimized geometry

extended XYZ file:
```
8
Lattice="-0.327 -4.120 0.997 6.105 -1.461 -4.033 2.157 1.569 7.191" Properties=species:S:1:pos:R:3 pbc="T T T"
Sm 6.111 -1.927 3.109
Sm 3.359 0.841 4.578
Sm 1.824 -2.085 1.046
Sm 4.903 -0.733 -1.420
Ir 2.889 -2.790 -1.518
As 0.000 0.000 0.000
Te 0.915 -1.275 4.094
Te 4.131 0.054 1.579
```

## Properties
**Size of the total moment**: 0.00 μB/f.u.
**DFT total energy**: -0.224 Ha/atom
**Fermi-level density of states**: 6.005 states/eV/cell
**Space-group type**: P2/m (10)